(1)
Density functional theory data (PBE) for a relaxed structure of LiTbPr2.

Unit cell a=7.9701 b=7.9701 c=7.9701 alpha=90.00 beta=90.00 gamma=90.00
With the nearest neighbours (Å) after each atom.
Space group Fm-3m (No. 225)
Symmetry-distinct sites (fractional):
1 Li 0.0000 0.0000 0.0000 [4 per cell]  8 Pr 3.45
2 Tb 0.0000 0.0000 0.5000 [4 per cell]  8 Pr 3.45
3 Pr 0.2500 0.2500 0.2500 [8 per cell]  4 Tb 3.45, 4 Li 3.45

Calculated values
For the calculated volume, the calculation gives 31.64 A^3/atom. For the total energy, the calculation gives -0.14208 Ha/atom. The density of states at the Fermi level comes out at 20.57 states/eV/cell. As for the magnetic moment: 0.00 μB per cell.

=====

(2)
Density functional theory data (PBE) for a relaxed structure of LiTbPrTc.

Unit cell a=7.1100 b=7.1100 c=7.1100 alpha=90.00 beta=90.00 gamma=90.00
With the nearest neighbours (Å) after each atom.
Space group F-43m (No. 216)
Symmetry-distinct sites (fractional):
1 Li 0.0000 0.0000 0.0000 [4 per cell]  4 Tb 3.08, 4 Pr 3.08
2 Tb 0.2500 0.2500 0.2500 [4 per cell]  4 Tc 3.08, 4 Li 3.08
3 Pr 0.2500 0.2500 0.7500 [4 per cell]  4 Li 3.08, 4 Tc 3.08
4 Tc 0.0000 0.0000 0.5000 [4 per cell]  4 Pr 3.08, 4 Tb 3.08

Calculated values
For the calculated volume, the calculation gives 22.46 A^3/atom. For the total energy, the calculation gives -0.19759 Ha/atom. The density of states at the Fermi level comes out at 14.50 states/eV/cell. As for the magnetic moment: 0.00 μB per cell.

=====

(3)
Density functional theory data (PBE) for a relaxed structure of LiTb3Pr3Te8.

Unit cell a=8.8413 b=8.8413 c=21.8255 alpha=90.00 beta=90.00 gamma=120.00
With the nearest neighbours (Å) after each atom.
Space group R-3m (No. 166, hexagonal axes)
Symmetry-distinct sites (fractional):
1 Li 0.0000 0.0000 0.0000 [3 per cell]  6 Te 3.10
2 Tb 0.0000 0.5000 0.0000 [9 per cell]  6 Te 3.09
3 Pr 0.0000 0.5000 0.5000 [9 per cell]  6 Te 3.18
4 Te 0.0000 0.0000 0.2538 [6 per cell]  3 Tb 3.09, 3 Pr 3.18
5 Te 0.0019 0.5009 0.2534 [18 per cell]  2 Tb 3.09, 1 Li 3.10, 2 Pr 3.18

Calculated values
For the calculated volume, the calculation gives 32.83 A^3/atom. For the total energy, the calculation gives -0.18598 Ha/atom. For the formation energy (no corrections), the calculation gives -1376 meV per atom. The density of states at the Fermi level comes out at 13.74 states/eV/cell. As for the magnetic moment: 0.00 μB per cell.